Record 1
DFT (PBE-GGA) results for crystalline PmSm2Au6 at its relaxed geometry.

Cell lengths 3.705, 8.566, 8.566 Å; angles 53.61, 77.51, 77.51 degrees
Positions (direct):
Au  0.176  0.138  0.509
Au  0.000  0.185  0.815
Au  0.824  0.491  0.862
Au  0.000  0.815  0.185
Au  0.824  0.862  0.491
Au  0.176  0.509  0.138
Sm  0.641  0.859  0.859
Sm  0.359  0.141  0.141
Pm  0.500  0.500  0.500

As for the space group: Immm, No. 71. The energy relative to the elements comes out at -719.9 meV per atom. For the theoretical density, the calculation gives 12.727 g/cm³. The value obtained for the total energy is -4.48 eV per atom.

Record 2
DFT (PBE-GGA) results for crystalline EuDyGa at its relaxed geometry.

Cell lengths 3.776, 5.078, 5.078 Å; angles 120.00, 90.00, 90.00 degrees
Site moments in Bohr magnetons follow the coordinates.
Positions (direct):
Dy  0.245  0.667  0.333  0.08
Ga  0.062  0.000  0.000  -0.05
Eu  0.693  0.333  0.667  6.84

Its offset from the most stable computed form is 0.104 eV/atom. As for the space group: P3m1, No. 156. The energy relative to the elements comes out at -214.3 meV per atom. For the theoretical density, the calculation gives 7.564 g/cm³. The value obtained for the total energy is -6.18 eV per atom.

Record 3
DFT (PBE-GGA) results for crystalline NaNbI6 at its relaxed geometry.

Cell lengths 7.451, 7.657, 7.530 Å; angles 59.44, 80.27, 70.59 degrees
Positions (direct):
Na  0.000  0.000  0.000
I  0.730  0.440  0.689
I  0.270  0.871  0.689
I  0.270  0.560  0.311
I  0.282  0.271  0.000
I  0.730  0.129  0.311
I  0.718  0.729  0.000
Nb  0.500  0.500  0.000

As for the uncorrected formation energy: -0.573 eV/atom. As for the space group: C2/m, No. 12. For the theoretical density, the calculation gives 4.175 g/cm³. The value obtained for the total energy is -3.16 eV per atom.

Record 4
DFT (PBE-GGA) results for crystalline SrHg3Pd at its relaxed geometry.

Cell lengths 4.725, 7.371, 7.604 Å; angles 75.56, 90.00, 90.00 degrees
Positions (direct):
Sr  0.381  0.567  0.213
Sr  0.881  0.108  0.593
Hg  0.881  0.279  0.096
Hg  0.381  0.396  0.710
Hg  0.881  0.676  0.886
Hg  0.881  0.644  0.496
Hg  0.381  0.999  0.920
Hg  0.381  0.030  0.310
Pd  0.881  0.891  0.147
Pd  0.381  0.784  0.659

Its offset from the most stable computed form is 0.000 eV/atom. As for the space group: P2_1/m, No. 11. The energy relative to the elements comes out at -383.4 meV per atom. For the theoretical density, the calculation gives 10.307 g/cm³. The value obtained for the total energy is -1.94 eV per atom.

Record 5
DFT (PBE-GGA) results for crystalline AlGaNi6 at its relaxed geometry.

Cell lengths 3.573, 3.573, 7.148 Å; angles 90.00, 90.00, 90.00 degrees
Site moments in Bohr magnetons follow the coordinates.
Positions (direct):
Ga  0.000  0.000  0.500  -0.02
Ni  0.500  0.000  0.751  0.27
Ni  0.500  0.000  0.249  0.27
Ni  0.500  0.500  0.500  0.27
Ni  0.500  0.500  0.000  0.27
Ni  0.000  0.500  0.249  0.27
Ni  0.000  0.500  0.751  0.27
Al  0.000  0.000  0.000  -0.01

As for the space group: P4/mmm, No. 123. The energy relative to the elements comes out at -360.8 meV per atom. For the theoretical density, the calculation gives 8.168 g/cm³. The value obtained for the total energy is -5.54 eV per atom.

Record 6
DFT (PBE-GGA) results for crystalline Er6AsP3Se2 at its relaxed geometry.

Cell lengths 4.001, 8.047, 8.990 Å; angles 103.40, 102.86, 90.00 degrees
Positions (direct):
P  0.168  0.833  0.336
P  0.500  0.500  0.000
P  0.832  0.167  0.664
As  0.500  0.000  0.000
Se  0.832  0.664  0.664
Se  0.168  0.336  0.336
Er  0.339  0.405  0.678
Er  0.004  0.747  0.008
Er  0.996  0.253  0.992
Er  0.668  0.071  0.336
Er  0.332  0.929  0.664
Er  0.661  0.595  0.322

As for the uncorrected formation energy: -1.711 eV/atom. As for the space group: C2/m, No. 12. For the theoretical density, the calculation gives 8.053 g/cm³. The value obtained for the total energy is -6.31 eV per atom.

Record 7
DFT (PBE-GGA) results for crystalline Ce3Bi3Sb2 at its relaxed geometry.

Cell lengths 9.302, 9.302, 6.285 Å; angles 90.00, 90.00, 120.00 degrees
Site moments in Bohr magnetons follow the coordinates.
Positions (direct):
Ce  0.608  0.000  0.750  0.19
Ce  0.392  0.000  0.250  0.19
Ce  0.392  0.392  0.750  0.19
Ce  0.000  0.392  0.250  0.19
Ce  0.000  0.608  0.750  0.19
Ce  0.608  0.608  0.250  0.19
Sb  0.667  0.333  0.000  -0.01
Sb  0.667  0.333  0.500  -0.01
Sb  0.333  0.667  0.500  -0.01
Sb  0.333  0.667  0.000  -0.01
Bi  0.766  0.000  0.250  0.00
Bi  0.000  0.766  0.250  0.00
Bi  0.766  0.766  0.750  0.00
Bi  0.234  0.234  0.250  0.00
Bi  0.000  0.234  0.750  0.00
Bi  0.234  0.000  0.750  0.00

As for the uncorrected formation energy: -0.686 eV/atom. As for the space group: P6_3/mcm, No. 193. For the theoretical density, the calculation gives 9.102 g/cm³. The value obtained for the total energy is -5.40 eV per atom.

Record 8
DFT (PBE-GGA) results for crystalline NdH6Ru2 at its relaxed geometry.

Cell lengths 4.219, 4.219, 5.076 Å; angles 103.12, 103.12, 93.92 degrees
Positions (direct):
Nd  0.500  0.000  0.000
H  0.002  0.889  0.287
H  0.922  0.422  0.311
H  0.611  0.498  0.713
H  0.078  0.578  0.689
H  0.389  0.502  0.287
H  0.998  0.111  0.713
Ru  0.246  0.254  0.500
Ru  0.754  0.746  0.500

As for the space group: C2/m, No. 12. For the theoretical density, the calculation gives 6.884 g/cm³. The value obtained for the total energy is -4.96 eV per atom.